Model w:
Material: AgHgSe
Method: DFT, PBE
State: optimized geometry

a = 3.9347 Å, b = 3.9347 Å, c = 8.5371 Å
α = 90.00°, β = 90.00°, γ = 90.00°
Last column: nearest neighbours and their distance in Å.
Space group I4mm (No. 107)
Inequivalent atoms, fractional coordinates:
Ag 0.0000 0.0000 0.0000 [2 per cell]  5 Se 2.83-3.13, 5 Hg 2.83-3.13
Hg 0.0000 0.0000 0.6679 [2 per cell]  5 Ag 2.83-3.13, 5 Se 2.87-3.11
Se 0.0000 0.0000 0.3319 [2 per cell]  5 Ag 2.83-3.13, 5 Hg 2.87-3.11

Values from the calculation:
N(E_F) ... 3.80 states/eV/cell

---

Model x:
Material: AgHgSe
Method: DFT, PBE
State: optimized geometry

a = 4.2371 Å, b = 4.2371 Å, c = 4.5248 Å
α = 90.00°, β = 90.00°, γ = 120.00°
Last column: nearest neighbours and their distance in Å.
Space group P3m1 (No. 156)
Inequivalent atoms, fractional coordinates:
Ag 0.0000 0.0000 0.0000 [1 per cell]  3 Se 2.73, 3 Hg 2.94
Hg 0.6667 0.3333 0.3618 [1 per cell]  3 Ag 2.94, 3 Se 2.96
Se 0.3333 0.6667 0.7317 [1 per cell]  3 Ag 2.73, 3 Hg 2.96

Values from the calculation:
N(E_F) ... 1.01 states/eV/cell

---

Stability, lowest: model w

---

Model w:
Material: Ag2Hg2Se
Method: DFT, PBE
State: optimized geometry

a = 8.0181 Å, b = 8.0181 Å, c = 3.4550 Å
α = 90.00°, β = 90.00°, γ = 90.00°
Last column: nearest neighbours and their distance in Å.
Space group P4/mbm (No. 127)
Inequivalent atoms, fractional coordinates:
Ag 0.1256 0.3744 0.0000 [4 per cell]  1 Ag 2.85, 6 Hg 2.88-2.97
Hg 0.1714 0.6714 0.5000 [4 per cell]  6 Ag 2.88-2.97, 2 Se 2.97
Se 0.0000 0.0000 0.5000 [2 per cell]  4 Hg 2.97

Values from the calculation:
N(E_F) ... 4.42 states/eV/cell

---

Model x:
Material: Ag2Hg2Se
Method: DFT, PBE
State: optimized geometry

a = 7.1898 Å, b = 7.1898 Å, c = 4.4089 Å
α = 90.00°, β = 90.00°, γ = 90.00°
Last column: nearest neighbours and their distance in Å.
Space group P4/mbm (No. 127)
Inequivalent atoms, fractional coordinates:
Ag 0.1486 0.3514 0.0000 [4 per cell]  2 Se 2.74, 2 Hg 2.99, 1 Ag 3.02
Hg 0.1524 0.6524 0.5000 [4 per cell]  6 Ag 2.99-3.09, 1 Hg 3.10
Se 0.0000 0.0000 0.0000 [2 per cell]  4 Ag 2.74

Values from the calculation:
N(E_F) ... 2.96 states/eV/cell

---

Model y:
Material: Ag2Hg2Se
Method: DFT, PBE
State: optimized geometry

a = 3.9234 Å, b = 3.9234 Å, c = 14.6505 Å
α = 90.00°, β = 90.00°, γ = 90.00°
Last column: nearest neighbours and their distance in Å.
Space group I4/mmm (No. 139)
Inequivalent atoms, fractional coordinates:
Ag 0.0000 0.5000 0.2500 [4 per cell]  4 Ag 2.77, 4 Hg 2.93
Hg 0.0000 0.0000 0.1010 [4 per cell]  4 Ag 2.93, 1 Hg 2.96, 4 Se 3.14
Se 0.0000 0.0000 0.5000 [2 per cell]  8 Hg 3.14

Values from the calculation:
N(E_F) ... 1.51 states/eV/cell

---

Stability, lowest: model w

---

Model w:
Material: AgHg3Se
Method: DFT, PBE
State: optimized geometry

a = 5.3840 Å, b = 5.3840 Å, c = 5.3840 Å
α = 90.00°, β = 90.00°, γ = 90.00°
Last column: nearest neighbours and their distance in Å.
Space group Pm-3m (No. 221)
Inequivalent atoms, fractional coordinates:
Ag 0.0000 0.0000 0.0000 [1 per cell]  6 Hg 2.69
Hg 0.0000 0.0000 0.5000 [3 per cell]  2 Ag 2.69
Se 0.5000 0.5000 0.5000 [1 per cell]  12 Hg 3.81

Values from the calculation:
N(E_F) ... 3.90 states/eV/cell

---

Model x:
Material: AgHg3Se
Method: DFT, PBE
State: optimized geometry

a = 5.5202 Å, b = 5.5202 Å, c = 5.5202 Å
α = 90.00°, β = 90.00°, γ = 90.00°
Last column: nearest neighbours and their distance in Å.
Space group Pm-3m (No. 221)
Inequivalent atoms, fractional coordinates:
Ag 0.0000 0.0000 0.0000 [1 per cell]  12 Hg 3.90
Hg 0.0000 0.5000 0.5000 [3 per cell]  2 Se 2.76
Se 0.5000 0.5000 0.5000 [1 per cell]  6 Hg 2.76

Values from the calculation:
N(E_F) ... 0.92 states/eV/cell

---

Stability, lowest: model x

---

Model w:
Material: Ag3HgSe
Method: DFT, PBE
State: optimized geometry

a = 5.1365 Å, b = 5.1365 Å, c = 5.1365 Å
α = 90.00°, β = 90.00°, γ = 90.00°
Last column: nearest neighbours and their distance in Å.
Space group Pm-3m (No. 221)
Inequivalent atoms, fractional coordinates:
Ag 0.0000 0.0000 0.5000 [3 per cell]  2 Se 2.57
Hg 0.5000 0.5000 0.5000 [1 per cell]  12 Ag 3.63
Se 0.0000 0.0000 0.0000 [1 per cell]  6 Ag 2.57

Values from the calculation:
N(E_F) ... 1.96 states/eV/cell

---

Model x:
Material: Ag3HgSe
Method: DFT, PBE
State: optimized geometry

a = 5.2156 Å, b = 5.2156 Å, c = 5.2156 Å
α = 90.00°, β = 90.00°, γ = 90.00°
Last column: nearest neighbours and their distance in Å.
Space group Pm-3m (No. 221)
Inequivalent atoms, fractional coordinates:
Ag 0.0000 0.0000 0.5000 [3 per cell]  2 Hg 2.61
Hg 0.0000 0.0000 0.0000 [1 per cell]  6 Ag 2.61
Se 0.5000 0.5000 0.5000 [1 per cell]  12 Ag 3.69

Values from the calculation:
N(E_F) ... 3.40 states/eV/cell

---

Stability, lowest: model x

---

Model w:
Material: TlAgHgSe
Method: DFT, PBE
State: optimized geometry

a = 7.3652 Å, b = 7.3652 Å, c = 7.3652 Å
α = 90.00°, β = 90.00°, γ = 90.00°
Last column: nearest neighbours and their distance in Å.
Space group F-43m (No. 216)
Inequivalent atoms, fractional coordinates:
Tl 0.0000 0.0000 0.0000 [4 per cell]  4 Hg 3.19, 4 Se 3.19
Ag 0.0000 0.0000 0.5000 [4 per cell]  4 Se 3.19, 4 Hg 3.19
Hg 0.2500 0.2500 0.7500 [4 per cell]  4 Ag 3.19, 4 Tl 3.19
Se 0.2500 0.2500 0.2500 [4 per cell]  4 Tl 3.19, 4 Ag 3.19

---

Model x:
Material: TlAgHgSe
Method: DFT, PBE
State: optimized geometry

a = 4.4521 Å, b = 4.4521 Å, c = 10.9220 Å
α = 90.00°, β = 90.00°, γ = 90.00°
Last column: nearest neighbours and their distance in Å.
Space group P4/nmm (No. 129, origin choice 2)
Inequivalent atoms, fractional coordinates:
Tl 0.2500 0.2500 0.2419 [2 per cell]  4 Se 3.28, 4 Ag 3.45, 4 Hg 3.59
Ag 0.2500 0.7500 0.0000 [2 per cell]  4 Se 2.81
Hg 0.2500 0.7500 0.5000 [2 per cell]  4 Hg 3.15
Se 0.2500 0.2500 0.8436 [2 per cell]  4 Ag 2.81

Values from the calculation:
N(E_F) ... 1.98 states/eV/cell

---

Stability, lowest: model w

---

Model w:
Material: SiAg2Hg
Method: DFT, PBE
State: optimized geometry

a = 2.9815 Å, b = 4.0252 Å, c = 6.2424 Å
α = 90.00°, β = 90.00°, γ = 90.00°
Last column: nearest neighbours and their distance in Å.
Space group Pmmm (No. 47)
Inequivalent atoms, fractional coordinates:
Si 0.0000 0.0000 0.0000 [1 per cell]  8 Ag 2.88, 2 Si 2.98, 2 Hg 3.12
Ag 0.5000 0.5000 0.2288 [2 per cell]  3 Ag 2.86-2.98, 4 Si 2.88, 4 Hg 3.02
Hg 0.0000 0.0000 0.5000 [1 per cell]  2 Hg 2.98, 8 Ag 3.02, 2 Si 3.12

Values from the calculation:
N(E_F) ... 1.42 states/eV/cell

---

Model x:
Material: SiAg2Hg
Method: DFT, PBE
State: optimized geometry

a = 4.1707 Å, b = 4.1707 Å, c = 8.5765 Å
α = 90.00°, β = 90.00°, γ = 90.00°
Last column: nearest neighbours and their distance in Å.
Space group I-4m2 (No. 119)
Inequivalent atoms, fractional coordinates:
Si 0.0000 0.0000 0.0000 [2 per cell]  8 Ag 2.95-2.99, 4 Hg 2.99
Ag 0.0000 0.0000 0.5000 [2 per cell]  4 Si 2.95, 4 Hg 2.99, 4 Ag 2.99
Ag 0.0000 0.5000 0.7500 [2 per cell]  4 Hg 2.95, 4 Si 2.99, 4 Ag 2.99
Hg 0.0000 0.5000 0.2500 [2 per cell]  8 Ag 2.95-2.99, 4 Si 2.99

Values from the calculation:
N(E_F) ... 2.01 states/eV/cell

---

Stability, lowest: model x

---

Model w:
Material: SiAg2Hg
Method: DFT, PBE
State: optimized geometry

a = 8.9336 Å, b = 2.9120 Å, c = 6.0975 Å
α = 90.00°, β = 103.44°, γ = 90.00°
Last column: nearest neighbours and their distance in Å.
Space group C2/m (No. 12)
Inequivalent atoms, fractional coordinates:
Si 0.0000 0.0000 0.0000 [2 per cell]  6 Ag 2.68-2.90, 2 Si 2.91
Ag 0.2419 0.5000 0.2134 [4 per cell]  3 Si 2.68-2.90, 2 Ag 2.91, 2 Hg 2.94
Hg 0.0000 0.5000 0.5000 [2 per cell]  2 Hg 2.91, 6 Ag 2.94-3.08

Values from the calculation:
N(E_F) ... 2.27 states/eV/cell

---

Model x:
Material: SiAg2Hg
Method: DFT, PBE
State: optimized geometry

a = 4.2148 Å, b = 4.2148 Å, c = 8.4116 Å
α = 90.00°, β = 90.00°, γ = 90.00°
Last column: nearest neighbours and their distance in Å.
Space group I4/mmm (No. 139)
Inequivalent atoms, fractional coordinates:
Si 0.0000 0.0000 0.0000 [2 per cell]  8 Ag 2.98, 4 Hg 2.98
Ag 0.0000 0.5000 0.2500 [4 per cell]  4 Hg 2.98, 4 Si 2.98, 4 Ag 2.98
Hg 0.0000 0.0000 0.5000 [2 per cell]  8 Ag 2.98, 4 Si 2.98

Values from the calculation:
N(E_F) ... 2.21 states/eV/cell

---

Model y:
Material: SiAg2Hg
Method: DFT, PBE
State: optimized geometry

a = 3.0065 Å, b = 5.2827 Å, c = 9.5301 Å
α = 90.00°, β = 90.00°, γ = 90.00°
Last column: nearest neighbours and their distance in Å.
Space group Immm (No. 71)
Inequivalent atoms, fractional coordinates:
Si 0.0000 0.0000 0.0000 [2 per cell]  4 Ag 2.65
Ag 0.0000 0.5000 0.2712 [4 per cell]  2 Si 2.65
Hg 0.0000 0.0000 0.5000 [2 per cell]  4 Ag 2.99, 2 Hg 3.01, 4 Si 3.04

Values from the calculation:
N(E_F) ... 2.19 states/eV/cell

---

Model z:
Material: SiAg2Hg
Method: DFT, PBE
State: optimized geometry

a = 2.9685 Å, b = 2.9685 Å, c = 8.5134 Å
α = 90.00°, β = 90.00°, γ = 90.00°
Last column: nearest neighbours and their distance in Å.
Space group P4/mmm (No. 123)
Inequivalent atoms, fractional coordinates:
Si 0.0000 0.0000 0.0000 [1 per cell]  8 Ag 2.83, 4 Si 2.97
Ag 0.5000 0.5000 0.2230 [2 per cell]  4 Si 2.83, 4 Ag 2.97, 4 Hg 3.16
Hg 0.0000 0.0000 0.5000 [1 per cell]  4 Hg 2.97, 8 Ag 3.16

Values from the calculation:
N(E_F) ... 1.81 states/eV/cell

---

Stability, lowest: model x

---

Model w:
Material: SiAg2Hg
Method: DFT, PBE
State: optimized geometry

a = 2.9795 Å, b = 4.4420 Å, c = 5.7438 Å
α = 90.00°, β = 99.31°, γ = 90.00°
Last column: nearest neighbours and their distance in Å.
Space group P2/m (No. 10)
Inequivalent atoms, fractional coordinates:
Si 0.0000 0.0000 0.0000 [1 per cell]  4 Ag 2.69, 2 Hg 2.87, 2 Si 2.98
Ag 0.3423 0.5000 0.2283 [2 per cell]  2 Si 2.69, 3 Ag 2.93-2.98, 2 Hg 2.99
Hg 0.0000 0.0000 0.5000 [1 per cell]  2 Si 2.87, 2 Hg 2.98, 8 Ag 2.99-3.20

Values from the calculation:
N(E_F) ... 0.73 states/eV/cell

---

Model x:
Material: SiAg2Hg
Method: DFT, PBE
State: optimized geometry

a = 10.1842 Å, b = 2.9417 Å, c = 5.0674 Å
α = 90.00°, β = 94.52°, γ = 90.00°
Last column: nearest neighbours and their distance in Å.
Space group Cm (No. 8)
Inequivalent atoms, fractional coordinates:
Si 0.0000 0.0000 0.0000 [2 per cell]  5 Ag 2.77-2.96, 1 Hg 2.83, 2 Si 2.94
Ag 0.2384 0.5000 0.2082 [2 per cell]  4 Hg 2.93-2.94, 5 Ag 2.94-3.05, 3 Si 2.94-2.96
Ag 0.4752 0.0000 0.4573 [2 per cell]  2 Si 2.77, 1 Hg 2.93, 5 Ag 2.94-3.05
Hg 0.2257 0.0000 0.7070 [2 per cell]  1 Si 2.83, 7 Ag 2.93-3.12, 2 Hg 2.94

Values from the calculation:
N(E_F) ... 2.17 states/eV/cell

---

Stability, lowest: model x